Material: DyY2Er6Sc
Method: DFT, PBE
State: relaxed

The value obtained for the calculated total energy is -4.991 eV/atom. Its total magnetic moment is 0.00 μB/f.u.

The space group is C2/c (No. 15) and the conventional cell measures 8.9872, 14.7451 and 9.3385 Å, with angles of 90.00, 96.97 and 90.00 degrees. The inequivalent atoms are Dy at (0.0000, 0.0232, 0.2500), Y at (0.2473, 0.4485, 0.4529), Er at (0.0602, 0.1874, 0.9430), Er at (0.0999, 0.3915, 0.1159), Er at (0.2129, 0.2213, 0.3101) and Sc at (0.0000, 0.4129, 0.7500).